[1]
The following is a PBEsol calculation of a relaxed Sb2IrPb crystal, from the Alexandria database.

a = 3.2124 Å, b = 3.2124 Å, c = 9.0985 Å
α = 90.00°, β = 90.00°, γ = 90.00°
With the nearest neighbours (Å) after each atom.
Fractional positions:
Sb 0.5000 0.5000 0.3147  4 Ir 2.72
Sb 0.0000 0.0000 0.0020  4 Sb 3.21, 4 Pb 3.54
Pb 0.5000 0.5000 0.7034  4 Ir 3.05, 4 Pb 3.21
Ir 0.0000 0.0000 0.4800  4 Sb 2.72, 4 Pb 3.05

Output
Total DFT energy (no corrections), Ry per atom: -0.4126
N(E_F), states/eV/atom: 0.6055
Space group: P4mm (99)
Energy relative to the elements, uncorrected, eV/atom: 0.1201
Magnetization, Bohr magnetons per cell: 0.0

[2]
The following is a PBEsol calculation of a relaxed NaTaO3 crystal, from the Alexandria database.

a = 3.9488 Å, b = 3.9488 Å, c = 3.9488 Å
α = 90.00°, β = 90.00°, γ = 90.00°
With the nearest neighbours (Å) after each atom.
Fractional positions:
Na 0.0000 0.0000 0.0000  12 O 2.79
O 0.0000 0.5000 0.5000  2 Ta 1.97
O 0.5000 0.5000 0.0000  2 Ta 1.97
O 0.5000 0.0000 0.5000  2 Ta 1.97
Ta 0.5000 0.5000 0.5000  6 O 1.97

Output
Total DFT energy (no corrections), Ry per atom: -0.6310
N(E_F), states/eV/atom: 0.0000
Space group: Pm-3m (221)
Energy relative to the elements, uncorrected, eV/atom: -2.6451
Magnetization, Bohr magnetons per cell: 0.0

[3]
The following is a PBEsol calculation of a relaxed KBeCr crystal, from the Alexandria database.

a = 3.1993 Å, b = 3.1993 Å, c = 6.3672 Å
α = 104.55°, β = 104.55°, γ = 90.00°
With the nearest neighbours (Å) after each atom.
Fractional positions:
K 0.6619 0.6619 0.3238  1 Cr 3.18, 4 K 3.20, 5 Be 3.36-3.44
Cr 0.3943 0.3943 0.7887  4 Be 2.34
Be 0.9438 0.9438 0.8875  4 Cr 2.34

Output
Total DFT energy (no corrections), Ry per atom: -0.3063
N(E_F), states/eV/atom: 0.3532
Space group: I4mm (107)
Formation energy from the elements, eV/atom: 0.958
Magnetization, Bohr magnetons per cell: 3.3

[4]
The following is a PBEsol calculation of a relaxed La2SbCl crystal, from the Alexandria database.

a = 3.8130 Å, b = 3.8130 Å, c = 10.1587 Å
α = 79.18°, β = 79.18°, γ = 60.00°
With the nearest neighbours (Å) after each atom.
Fractional positions:
Cl 0.2688 0.2688 0.1937  3 La 2.84
La 0.9956 0.9956 0.0132  3 Cl 2.84
La 0.7459 0.7459 0.7622  3 Sb 3.18, 3 La 3.32
Sb 0.4897 0.4897 0.5309  3 La 3.18

Output
Total DFT energy (no corrections), Ry per atom: -0.3691
N(E_F), states/eV/atom: 0.7719
Space group: R3m (160)
Energy relative to the elements, uncorrected, eV/atom: -0.7074
Magnetization, Bohr magnetons per cell: 0.0

[5]
The following is a PBEsol calculation of a relaxed AgAu crystal, from the Alexandria database.

a = 5.5132 Å, b = 7.9854 Å, c = 9.2935 Å
α = 90.00°, β = 90.00°, γ = 90.00°
With the nearest neighbours (Å) after each atom.
Fractional positions:
Ag 0.7500 0.0828 0.8738  5 Au 2.66-2.76
Ag 0.2500 0.9206 0.6245  7 Au 2.66-2.97
Ag 0.0000 0.7500 0.8756  8 Ag 2.76-3.03, 6 Au 2.99-3.00
Ag 0.7500 0.5828 0.1262  5 Au 2.66-2.76
Ag 0.5000 0.2500 0.1244  8 Ag 2.76-3.03, 6 Au 2.99-3.00
Ag 0.7500 0.0794 0.3755  7 Au 2.66-2.97
Ag 0.0000 0.2500 0.1244  8 Ag 2.76-3.03, 6 Au 2.99-3.00
Ag 0.5000 0.7500 0.8756  8 Ag 2.76-3.03, 6 Au 2.99-3.00
Ag 0.2500 0.4172 0.8738  5 Au 2.66-2.76
Ag 0.7500 0.5794 0.6245  7 Au 2.66-2.97
Ag 0.2500 0.9172 0.1262  5 Au 2.66-2.76
Ag 0.2500 0.4206 0.3755  7 Au 2.66-2.97
Au 0.2500 0.5877 0.6265  5 Ag 2.66-2.76
Au 0.7500 0.9178 0.1229  5 Ag 2.66-2.76
Au 0.0000 0.7500 0.3745  8 Au 2.76-3.03, 6 Ag 2.97-3.03
Au 0.2500 0.0877 0.3735  5 Ag 2.66-2.76
Au 0.7500 0.4123 0.3735  5 Ag 2.66-2.76
Au 0.2500 0.0822 0.8771  5 Ag 2.66-2.76
Au 0.7500 0.4178 0.8771  5 Ag 2.66-2.76
Au 0.5000 0.2500 0.6255  8 Au 2.76-3.03, 6 Ag 2.97-3.03
Au 0.2500 0.5822 0.1229  5 Ag 2.66-2.76
Au 0.5000 0.7500 0.3745  8 Au 2.76-3.03, 6 Ag 2.97-3.03
Au 0.7500 0.9123 0.6265  5 Ag 2.66-2.76
Au 0.0000 0.2500 0.6255  8 Au 2.76-3.03, 6 Ag 2.97-3.03

Output
Total DFT energy (no corrections), Ry per atom: -0.2635
N(E_F), states/eV/atom: 0.2622
Space group: Pbcm (57)
Formation energy from the elements, eV/atom: 0.033
Magnetization, Bohr magnetons per cell: 0.0

[6]
The following is a PBEsol calculation of a relaxed CaTlCd2 crystal, from the Alexandria database.

a = 3.6957 Å, b = 5.4483 Å, c = 5.6037 Å
α = 107.06°, β = 90.00°, γ = 109.83°
With the nearest neighbours (Å) after each atom.
Fractional positions:
Cd 0.7490 0.4980 0.2287  3 Cd 2.97-3.21, 2 Tl 3.06, 2 Ca 3.29
Cd 0.0124 0.0249 0.0334  3 Cd 2.97-3.21, 2 Tl 3.25, 3 Ca 3.25-3.32
Ca 0.2503 0.5007 0.7440  3 Tl 3.17-3.20, 7 Cd 3.25-3.42
Tl 0.4882 0.9765 0.4939  4 Cd 3.06-3.25, 3 Ca 3.17-3.20

Output
Total DFT energy (no corrections), Ry per atom: -0.1454
N(E_F), states/eV/atom: 0.4457
Space group: Cm (8)
Formation energy from the elements, eV/atom: -0.189
Excess energy over the best structure of this formula in the dataset, eV per atom: 0.0752
Magnetization, Bohr magnetons per cell: 0.0

[7]
The following is a PBEsol calculation of a relaxed TmFe4Ge2 crystal, from the Alexandria database.

a = 3.7415 Å, b = 7.0526 Å, c = 7.0526 Å
α = 90.00°, β = 90.00°, γ = 90.00°
With the nearest neighbours (Å) after each atom.
Fractional positions:
Fe 0.0000 0.9146 0.6405  5 Fe 2.32-2.49, 3 Ge 2.36-2.39
Fe 0.5000 0.4146 0.8595  5 Fe 2.32-2.49, 3 Ge 2.36-2.39
Fe 0.0000 0.0854 0.3595  5 Fe 2.32-2.49, 3 Ge 2.36-2.39
Fe 0.0000 0.3595 0.0854  5 Fe 2.32-2.49, 3 Ge 2.36-2.39
Fe 0.0000 0.6405 0.9146  5 Fe 2.32-2.49, 3 Ge 2.36-2.39
Fe 0.5000 0.1405 0.5854  5 Fe 2.32-2.49, 3 Ge 2.36-2.39
Fe 0.5000 0.8595 0.4146  5 Fe 2.32-2.49, 3 Ge 2.36-2.39
Fe 0.5000 0.5854 0.1405  5 Fe 2.32-2.49, 3 Ge 2.36-2.39
Tm 0.5000 0.0000 0.0000  6 Ge 2.82-2.86, 4 Fe 3.09
Tm 0.0000 0.5000 0.5000  6 Ge 2.82-2.86, 4 Fe 3.09
Ge 0.0000 0.7825 0.2175  6 Fe 2.36-2.39
Ge 0.0000 0.2175 0.7825  6 Fe 2.36-2.39
Ge 0.5000 0.7175 0.7175  6 Fe 2.36-2.39
Ge 0.5000 0.2825 0.2825  6 Fe 2.36-2.39

Output
Total DFT energy (no corrections), Ry per atom: -0.5585
N(E_F), states/eV/atom: 0.7079
Space group: P4_2/mnm (136)
Formation energy from the elements, eV/atom: -0.365
Magnetization, Bohr magnetons per cell: 7.1

[8]
The following is a PBEsol calculation of a relaxed K3Pb2Cl8 crystal, from the Alexandria database.

a = 8.4826 Å, b = 8.8037 Å, c = 8.8467 Å
α = 60.78°, β = 60.76°, γ = 62.21°
With the nearest neighbours (Å) after each atom.
Fractional positions:
Cl 0.2689 0.2326 0.7104  1 Pb 2.81, 3 K 3.01-3.08
Cl 0.2362 0.2087 0.2953  2 Pb 2.70-2.92
Cl 0.7311 0.7674 0.2896  1 Pb 2.81, 3 K 3.01-3.08
Cl 0.2125 0.7879 0.2893  1 Pb 2.68
Cl 0.7875 0.2121 0.7107  1 Pb 2.68
Cl 0.7694 0.2115 0.2875  2 Pb 2.76-2.93
Cl 0.7638 0.7913 0.7047  2 Pb 2.70-2.92
Cl 0.2306 0.7885 0.7125  2 Pb 2.76-2.93
K 0.5000 0.5000 0.5000  6 Cl 3.05-3.20
K 0.0000 0.0000 0.0000  6 Cl 3.08-3.18
K 0.0000 0.5000 0.5000  6 Cl 3.01-3.17
Pb 0.0000 0.0000 0.5000  6 Cl 2.68-2.76
Pb 0.5000 0.0000 0.5000  6 Cl 2.81-2.93

Output
Total DFT energy (no corrections), Ry per atom: -0.2565
N(E_F), states/eV/atom: 0.4987
Space group: P-1 (2)
Energy relative to the elements, uncorrected, eV/atom: -1.3773
Magnetization, Bohr magnetons per cell: 0.0

[9]
The following is a PBEsol calculation of a relaxed MnCd2CoHg crystal, from the Alexandria database.

a = 4.2744 Å, b = 4.9006 Å, c = 4.9006 Å
α = 90.00°, β = 90.00°, γ = 90.00°
With the nearest neighbours (Å) after each atom.
Fractional positions:
Cd 0.0000 0.0000 0.5000  2 Co 2.45
Cd 0.0000 0.5000 0.0000  2 Co 2.45
Mn 0.5000 0.0000 0.0000  2 Co 2.14
Hg 0.5000 0.5000 0.5000  8 Cd 3.25, 4 Mn 3.47
Co 0.0000 0.0000 0.0000  2 Mn 2.14

Output
Total DFT energy (no corrections), Ry per atom: -0.2553
N(E_F), states/eV/atom: 0.6386
Space group: P4/mmm (123)
Formation energy from the elements, eV/atom: 0.619
Magnetization, Bohr magnetons per cell: 3.8

[10]
The following is a PBEsol calculation of a relaxed Rb2Te2Cl crystal, from the Alexandria database.

a = 4.3703 Å, b = 4.3703 Å, c = 9.9786 Å
α = 102.65°, β = 102.65°, γ = 90.00°
With the nearest neighbours (Å) after each atom.
Fractional positions:
Cl 0.0000 0.0000 0.0000  8 Rb 3.58
Rb 0.5948 0.5948 0.1896  4 Cl 3.58, 1 Rb 3.60, 4 Te 3.67
Rb 0.4052 0.4052 0.8104  4 Cl 3.58, 1 Rb 3.60, 4 Te 3.67
Te 0.2500 0.7500 0.5000  4 Te 3.09
Te 0.7500 0.2500 0.5000  4 Te 3.09

Output
Total DFT energy (no corrections), Ry per atom: -0.2427
N(E_F), states/eV/atom: 0.1816
Space group: I4/mmm (139)
Energy relative to the elements, uncorrected, eV/atom: -1.0798
Magnetization, Bohr magnetons per cell: 0.0

[11]
The following is a PBEsol calculation of a relaxed Al6Zn7 crystal, from the Alexandria database.

a = 5.0223 Å, b = 5.0223 Å, c = 9.6342 Å
α = 74.89°, β = 74.89°, γ = 60.00°
With the nearest neighbours (Å) after each atom.
Fractional positions:
Al 0.9530 0.9530 0.1410  1 Al 2.59, 6 Zn 2.75
Al 0.3342 0.3342 0.9973  6 Zn 2.81-2.84, 3 Al 2.90
Al 0.8465 0.8465 0.4604  12 Zn 2.92-3.09, 4 Al 2.93-2.99
Al 0.6658 0.6658 0.0027  6 Zn 2.81-2.84, 3 Al 2.90
Al 0.1535 0.1535 0.5396  12 Zn 2.92-3.09, 4 Al 2.93-2.99
Al 0.0470 0.0470 0.8590  1 Al 2.59, 6 Zn 2.75
Zn 0.5890 0.5890 0.7364  5 Zn 2.49-2.62, 2 Al 2.75
Zn 0.4110 0.9144 0.2636  5 Zn 2.49-2.62, 2 Al 2.75
Zn 0.0856 0.5890 0.7364  5 Zn 2.49-2.62, 2 Al 2.75
Zn 0.4110 0.4110 0.2636  5 Zn 2.49-2.62, 2 Al 2.75
Zn 0.5890 0.0856 0.7364  5 Zn 2.49-2.62, 2 Al 2.75
Zn 0.9144 0.4110 0.2636  5 Zn 2.49-2.62, 2 Al 2.75
Zn 0.5000 0.5000 0.5000  6 Zn 2.62, 6 Al 2.92

Output
Total DFT energy (no corrections), Ry per atom: -0.1968
N(E_F), states/eV/atom: 0.2568
Space group: R-3m (166)
Formation energy from the elements, eV/atom: 0.063
Magnetization, Bohr magnetons per cell: 0.0

[12]
The following is a PBEsol calculation of a relaxed NiCO3 crystal, from the Alexandria database.

a = 4.5709 Å, b = 4.5709 Å, c = 5.4798 Å
α = 65.35°, β = 65.35°, γ = 60.00°
With the nearest neighbours (Å) after each atom.
Fractional positions:
O 0.2500 0.5327 0.2500  1 C 1.29
O 0.4673 0.0327 0.7500  1 C 1.29
O 0.5327 0.9673 0.2500  1 C 1.29
O 0.7500 0.4673 0.7500  1 C 1.29
O 0.0327 0.7500 0.7500  1 C 1.29
O 0.9673 0.2500 0.2500  1 C 1.29
C 0.2500 0.2500 0.2500  3 O 1.29
C 0.7500 0.7500 0.7500  3 O 1.29
Ni 0.0000 0.0000 0.0000  6 O 2.04
Ni 0.5000 0.5000 0.5000  6 O 2.04

Output
Total DFT energy (no corrections), Ry per atom: -0.5435
Space group: R-3c (167)
Energy relative to the elements, uncorrected, eV/atom: -1.0842
Magnetization, Bohr magnetons per cell: 3.9